Entry w
Entry from OQMD: an optimized crystal structure of CsZnPd (PBE).

Summary:
The value obtained for the calculated density is 4.086 g/cm³.

Cell: 5.5951 5.5951 5.5951 Å, 60.00 60.00 60.00°
Fractional coordinates of all 3 atoms:
Cs  0.0000  0.0000  0.0000
Pd  0.2500  0.2500  0.2500
Zn  0.7500  0.7500  0.7500

Entry x
Entry from OQMD: an optimized crystal structure of CsZnPd (PBE).

Summary:
The value obtained for the calculated density is 5.217 g/cm³.

Cell: 5.1573 5.1573 5.1573 Å, 60.00 60.00 60.00°
Fractional coordinates of all 3 atoms:
Cs  0.2500  0.2500  0.2500
Pd  0.0000  0.0000  0.0000
Zn  0.7500  0.7500  0.7500

Most stable: entry x. Least stable: entry w.